# Cs2AgBiBr6 SCAN single point on PBEsol structure
data_Cs2AgBiBr6
_chemical_formula_sum 'Cs2 Ag1 Bi1 Br6'
_cell_length_a 7.905
_cell_length_b 7.905
_cell_length_c 7.905
_cell_angle_alpha 60.00
_cell_angle_beta 60.00
_cell_angle_gamma 60.00
_space_group_name_H-M_alt 'P 1'
_space_group_IT_number 1
loop_
_space_group_symop_operation_xyz
'x,y,z'
loop_
_atom_site_label
_atom_site_type_symbol
_atom_site_fract_x
_atom_site_fract_y
_atom_site_fract_z
Cs1 Cs 0.250 0.250 0.250
Cs2 Cs 0.750 0.750 0.750
Ag1 Ag 0.000 0.000 0.000
Bi1 Bi 0.500 0.500 0.500
Br1 Br 0.246 0.246 0.754
Br2 Br 0.246 0.754 0.246
Br3 Br 0.246 0.754 0.754
Br4 Br 0.754 0.246 0.246
Br5 Br 0.754 0.246 0.754
Br6 Br 0.754 0.754 0.246
# E_form (uncorrected) ... -1.229 eV per atom
# Energy ... -314.61 eV per cell
# Space group ... Fm-3m, No. 225